No. 1
Below is a geometry-optimized Nb2AgBi structure, with properties calculated at the PBE level.

Total DFT energy (no corrections) ... -6.205 eV per atom
Spin magnetization ... 0.035 μB/f.u.

abc: 6.863 6.863 6.863
angles: 90.00 90.00 90.00
Fractional positions:
Nb (0.000, 0.000, 0.000)
Nb (0.000, 0.500, 0.500)
Nb (0.250, 0.250, 0.250)
Nb (0.250, 0.750, 0.750)
Nb (0.500, 0.000, 0.500)
Nb (0.500, 0.500, 0.000)
Nb (0.750, 0.250, 0.750)
Nb (0.750, 0.750, 0.250)
Ag (0.250, 0.250, 0.750)
Ag (0.250, 0.750, 0.250)
Ag (0.750, 0.250, 0.250)
Ag (0.750, 0.750, 0.750)
Bi (0.000, 0.000, 0.500)
Bi (0.000, 0.500, 0.000)
Bi (0.500, 0.000, 0.000)
Bi (0.500, 0.500, 0.500)


No. 2
Below is a geometry-optimized NbAg2Bi structure, with properties calculated at the PBE level.

Total DFT energy (no corrections) ... -4.515 eV per atom
Spin magnetization ... 1.815 μB/f.u.

abc: 6.868 6.868 6.868
angles: 90.00 90.00 90.00
Fractional positions:
Nb (0.000, 0.000, 0.000)
Nb (0.000, 0.500, 0.500)
Nb (0.500, 0.000, 0.500)
Nb (0.500, 0.500, 0.000)
Ag (0.000, 0.000, 0.500)
Ag (0.000, 0.500, 0.000)
Ag (0.250, 0.250, 0.250)
Ag (0.250, 0.750, 0.750)
Ag (0.500, 0.000, 0.000)
Ag (0.500, 0.500, 0.500)
Ag (0.750, 0.250, 0.750)
Ag (0.750, 0.750, 0.250)
Bi (0.250, 0.250, 0.750)
Bi (0.250, 0.750, 0.250)
Bi (0.750, 0.250, 0.250)
Bi (0.750, 0.750, 0.750)


No. 3
Below is a geometry-optimized PrNdAg2Bi2Sb2 structure, with properties calculated at the PBE level.

Total DFT energy (no corrections) ... -4.573 eV per atom
Spin magnetization ... 0.000 μB/f.u.

abc: 4.502 4.502 10.643
angles: 90.00 90.00 90.00
Fractional positions:
Pr (0.000, 0.000, 0.000)
Nd (0.500, 0.500, 0.498)
Ag (0.000, 0.500, 0.747)
Ag (0.500, 0.000, 0.747)
Bi (0.000, 0.500, 0.251)
Bi (0.500, 0.000, 0.251)
Sb (0.000, 0.000, 0.574)
Sb (0.500, 0.500, 0.920)


No. 4
Below is a geometry-optimized NdAgBiSb structure, with properties calculated at the PBE level.

Spin magnetization ... 0.002 μB/f.u.
Excess energy over the best structure of this formula in the dataset ... 0.0476 eV per atom

abc: 4.467 4.467 10.621
angles: 90.00 90.00 90.00
Fractional positions:
Nd (0.250, 0.250, 0.236)
Nd (0.750, 0.750, 0.764)
Ag (0.250, 0.750, 0.500)
Ag (0.750, 0.250, 0.500)
Bi (0.250, 0.250, 0.686)
Bi (0.750, 0.750, 0.314)
Sb (0.250, 0.750, 0.000)
Sb (0.750, 0.250, 0.000)